First-principles (PBE) data for an optimized crystal structure of InSi3Au, as listed in the Alexandria database.

Final energy: -18.1 eV per cell
Space group: Pm-3m (221)
Energy relative to the lowest polymorph listed for this composition: 0 meV per atom
Formation energy from raw total energies: 836 meV per atom

a = 4.923 Å, b = 4.923 Å, c = 4.923 Å
α = 90.00°, β = 90.00°, γ = 90.00°
Atoms (fractional coordinates):
In 0.000 0.000 0.000
Si 0.000 0.500 0.500
Si 0.500 0.000 0.500
Si 0.500 0.500 0.000
Au 0.500 0.500 0.500